# 1
Gd2DyCd4In2 (PBE-GGA, optimized geometry); calculated total energy = -2.96 eV/atom
1.0
4.6165 0.0000 0.0000
0.0000 6.4958 3.7687
0.0000 -6.4958 3.7687
Cd Dy Gd In
4 1 2 2
Direct
0.5000 0.2413 0.2413
0.5000 0.9997 0.7587
0.0000 0.9987 0.9987
0.5000 0.7587 0.9997
0.0000 0.5744 0.5744
0.0000 0.4261 0.0002
0.0000 0.0002 0.4261
0.5000 0.6662 0.3345
0.5000 0.3345 0.6662

# 2
YSiPt2 (PBE-GGA, optimized geometry); calculated total energy = -6.96 eV/atom
1.0
-1.5713 2.3041 2.9087
-5.6233 0.4631 -3.4045
-1.9314 -4.5612 2.5698
Pt Si Y
4 2 2
Direct
0.5000 0.8450 0.1676
0.5000 0.2389 0.3431
0.0000 0.1550 0.6676
0.0000 0.7611 0.8431
0.0000 0.1084 0.1218
0.5000 0.8916 0.6218
0.0000 0.5779 0.3674
0.5000 0.4221 0.8674

# 3
BeInCoGe (PBE-GGA, optimized geometry); offset from the most stable computed form = 0.125 eV per atom
1.0
1.4906 -3.4390 2.2489
-1.3092 -0.6517 4.1191
-2.6789 -3.3230 0.9420
Be Co Ge In
1 1 1 1
Direct
0.7500 0.7500 0.7500
0.5000 0.5000 0.5000
0.2500 0.2500 0.2500
0.0000 0.0000 0.0000

# 4
Y2Nb4Al3C3 (PBE-GGA, optimized geometry); calculated total energy = -8.23 eV/atom
1.0
4.8981 -2.8233 0.0000
4.8981 2.8233 0.0000
-3.3581 0.0000 14.1599
Al C Nb Y
6 6 8 4
Direct
0.0940 0.4132 0.2479
0.0755 0.9245 0.2500
0.5868 0.9060 0.2521
0.4132 0.0940 0.7479
0.9245 0.0755 0.7500
0.9060 0.5868 0.7521
0.5000 0.0000 0.0000
0.8469 0.3265 0.0000
0.1531 0.6735 0.0000
0.3265 0.8469 0.5000
0.0000 0.5000 0.5000
0.6735 0.1531 0.5000
0.8497 0.6933 0.0798
0.2055 0.0159 0.0798
0.9841 0.7945 0.4202
0.3067 0.1503 0.4202
0.6933 0.8497 0.5798
0.0159 0.2055 0.5798
0.7945 0.9841 0.9202
0.1503 0.3067 0.9202
0.5390 0.3778 0.1137
0.6222 0.4610 0.3863
0.3778 0.5390 0.6137
0.4610 0.6222 0.8863

# 5
CsPrTm (PBE-GGA, optimized geometry); offset from the most stable computed form = 0.000 eV per atom
1.0
0.0000 4.3308 4.3308
4.3308 0.0000 4.3308
4.3308 4.3308 0.0000
Cs Pr Tm
1 1 1
Direct
0.2500 0.2500 0.2500
0.7500 0.7500 0.7500
0.0000 0.0000 0.0000

# 6
ErZn3N (PBE-GGA, optimized geometry); calculated total energy = -2.99 eV/atom
1.0
4.3446 0.0000 0.0000
0.0000 4.3446 0.0000
0.0000 0.0000 4.3446
Er N Zn
1 1 3
Direct
0.0000 0.0000 0.0000
0.5000 0.5000 0.5000
0.5000 0.5000 0.0000
0.5000 0.0000 0.5000
0.0000 0.5000 0.5000